This record from Alexandria via LeMat-Bulk describes MnZnBr2 after structural relaxation. The functional is PBEsol.

The calculation puts the formation energy from raw total energies at 33 meV/atom. The calculation puts the mass density at 4.85 Mg/m³. The energy above the most stable polymorph in this dataset comes out at 26 kJ/mol of formula units. Its electronic total energy is -3.7380 eV per atom.

a b c (Å): 3.3067 3.3067 8.7651
angles (deg): 90.00 90.00 90.00
Closest atoms and distances in Å follow each position.
Fractional positions:
Br 0.0000 0.0000 0.8155  4 Mn 2.84
Br 0.0000 0.0000 0.1845  4 Mn 2.84
Mn 0.5000 0.5000 0.0000  8 Br 2.84
Zn 0.5000 0.5000 0.5000  4 Zn 3.31, 8 Br 3.62

---

This record from Alexandria via LeMat-Bulk describes Zr5Ru after structural relaxation. The functional is PBEsol.

The calculation puts the formation energy at -182 meV per atom. The calculation puts the mass density at 7.63 Mg/m³. The energy above the most stable polymorph in this dataset comes out at 2 kJ/mol of formula units. Its electronic total energy is -9.4519 eV per atom.

a b c (Å): 3.2726 5.6671 7.2453
angles (deg): 108.58 90.00 106.78
Closest atoms and distances in Å follow each position.
Fractional positions:
Zr 0.3327 0.6654 0.6884  2 Ru 2.89, 7 Zr 3.08-3.22
Zr 0.0000 0.0000 0.5000  10 Zr 3.02-3.27
Zr 0.6673 0.3346 0.3116  2 Ru 2.89, 7 Zr 3.08-3.22
Zr 0.3524 0.7049 0.1458  2 Ru 2.74, 4 Zr 2.99-3.02
Zr 0.6476 0.2951 0.8542  2 Ru 2.74, 4 Zr 2.99-3.02
Ru 0.0000 0.0000 0.0000  8 Zr 2.74-2.89